one:
MoP2BrO, relaxed, DFT PBE with a Hubbard U; total moment = 2.93 Bohr magnetons per cell
1.0
4.936 0.000 0.000
0.000 4.936 0.000
0.000 0.000 3.705
Mo P Br O
1 2 1 1
direct
0.000 0.000 0.000 Mo
0.000 0.500 0.500 P
0.500 0.000 0.500 P
0.500 0.500 0.500 Br
0.500 0.500 0.000 O



two:
MoP2BrO, relaxed, DFT PBE with a Hubbard U; total moment = 0.00 Bohr magnetons per cell
1.0
4.874 0.000 0.000
0.000 4.874 0.000
0.000 0.000 3.857
Mo P Br O
1 2 1 1
direct
0.000 0.000 0.000 Mo
0.000 0.500 0.000 P
0.500 0.000 0.000 P
0.500 0.500 0.500 Br
0.000 0.000 0.500 O



Most stable structure - two; separation to the second - 1017 meV per atom.